Entry 1:
VASP calculation (PBE-GGA) on a relaxed structure of BaCa2SbPb.

Computed properties:
- uncorrected energy (eV/atom) = -2.043
- formation energy without anion corrections (kcal/mol of atoms) = 16.32

a b c (Å): 6.152 6.132 6.152
angles (deg): 90.00 90.00 90.00
Fractional positions:
Ca1 0.000 0.000 0.500
Ca2 0.500 0.000 0.000
Ba1 0.000 0.000 0.000
Sb1 0.000 0.500 0.000
Pb1 0.500 0.500 0.500

Entry 2:
VASP calculation (PBE-GGA) on a relaxed structure of BaCaSc2Pb.

Computed properties:
- uncorrected energy (eV/atom) = -3.157
- formation energy (eV per atom) = 0.902

a b c (Å): 5.489 6.235 5.489
angles (deg): 90.00 90.00 90.00
Fractional positions:
Sc1 0.500 0.000 0.000
Sc2 0.000 0.000 0.500
Ba1 0.000 0.000 0.000
Ca1 0.500 0.500 0.500
Pb1 0.000 0.500 0.000

Entry 3:
VASP calculation (PBE-GGA) on a relaxed structure of BaCa2PbSe4.

Computed properties:
- uncorrected energy (eV/atom) = -4.581
- formation energy without anion corrections (kcal/mol of atoms) = -37.70

a b c (Å): 8.792 8.792 8.793
angles (deg): 120.00 120.00 90.00
Fractional positions:
Ca1 0.500 0.000 0.000
Ca2 0.500 0.000 0.500
Ca3 0.000 0.000 0.500
Ca4 0.500 0.500 0.000
Pb1 0.500 0.500 0.500
Pb2 0.000 0.000 0.000
Se1 0.265 0.774 0.519
Se2 0.735 0.226 0.481
Se3 0.740 0.760 0.009
Se4 0.740 0.760 0.491
Se5 0.726 0.235 0.981
Se6 0.260 0.240 0.509
Se7 0.260 0.240 0.991
Se8 0.274 0.765 0.019
Ba1 0.000 0.500 0.000
Ba2 0.000 0.500 0.500

Entry 4:
VASP calculation (PBE-GGA) on a relaxed structure of Ba2CaPbSe4.

Computed properties:
- uncorrected energy (eV/atom) = -4.580
- formation energy without anion corrections (kcal/mol of atoms) = -37.89

a b c (Å): 4.521 7.796 7.858
angles (deg): 70.55 90.00 90.00
Fractional positions:
Pb1 0.500 0.500 0.000
Ba1 0.500 0.000 0.500
Ba2 0.000 0.000 0.000
Se1 0.000 0.731 0.749
Se2 0.500 0.727 0.263
Se3 0.500 0.273 0.737
Se4 0.000 0.269 0.251
Ca1 0.000 0.500 0.500

Entry 5:
VASP calculation (PBE-GGA) on a relaxed structure of BaCa2TcPb.

Computed properties:
- uncorrected energy (eV/atom) = -3.447
- formation energy (eV per atom) = 0.553

a b c (Å): 5.995 5.365 5.995
angles (deg): 90.00 90.00 90.00
Fractional positions:
Ba1 0.500 0.500 0.500
Ca1 0.500 0.000 0.000
Ca2 0.000 0.000 0.500
Tc1 0.000 0.500 0.000
Pb1 0.000 0.000 0.000

Entry 6:
VASP calculation (PBE-GGA) on a relaxed structure of BaCa2Te4Pb.

Computed properties:
- uncorrected energy (eV/atom) = -4.118
- formation energy without anion corrections (kcal/mol of atoms) = -30.97

a b c (Å): 9.366 9.366 9.373
angles (deg): 120.02 120.02 90.02
Fractional positions:
Ba1 0.000 0.500 0.000
Ba2 0.000 0.500 0.500
Te1 0.265 0.772 0.518
Te2 0.741 0.759 0.006
Te3 0.272 0.765 0.018
Te4 0.259 0.241 0.506
Te5 0.728 0.235 0.982
Te6 0.741 0.759 0.494
Te7 0.259 0.241 0.994
Te8 0.735 0.228 0.482
Pb1 0.500 0.500 0.500
Pb2 0.000 0.000 0.000
Ca1 0.000 0.000 0.500
Ca2 0.500 0.000 0.500
Ca3 0.500 0.000 0.000
Ca4 0.500 0.500 0.000

Entry 7:
VASP calculation (PBE-GGA) on a relaxed structure of BaCaTi2Pb.

Computed properties:
- uncorrected energy (eV/atom) = -3.698
- formation energy (eV per atom) = 0.986

a b c (Å): 5.321 5.842 5.321
angles (deg): 90.00 90.00 90.00
Fractional positions:
Pb1 0.000 0.500 0.000
Ti1 0.500 0.000 0.000
Ti2 0.000 0.000 0.500
Ba1 0.500 0.500 0.500
Ca1 0.000 0.000 0.000

Entry 8:
VASP calculation (PBE-GGA) on a relaxed structure of Ba2CaTl7Pb2.

Computed properties:
- uncorrected energy (eV/atom) = -2.747
- formation energy (eV per atom) = -0.261

a b c (Å): 4.962 4.962 16.600
angles (deg): 85.56 85.56 88.98
Fractional positions:
Tl1 0.460 0.962 0.147
Tl2 0.300 0.300 0.465
Tl3 0.540 0.038 0.853
Tl4 0.962 0.460 0.147
Tl5 0.500 0.500 0.000
Tl6 0.700 0.700 0.535
Tl7 0.038 0.540 0.853
Pb1 0.576 0.576 0.725
Pb2 0.424 0.424 0.275
Ba1 0.094 0.094 0.669
Ba2 0.906 0.906 0.331
Ca1 0.000 0.000 0.000

Entry 9:
VASP calculation (PBE-GGA) on a relaxed structure of BaCaTlPb.

Computed properties:
- uncorrected energy (eV/atom) = -2.953
- formation energy (eV per atom) = -0.453

a b c (Å): 5.840 5.840 5.840
angles (deg): 60.00 60.00 60.00
Fractional positions:
Ba1 0.000 0.000 0.000
Tl1 0.750 0.750 0.750
Ca1 0.500 0.500 0.500
Pb1 0.250 0.250 0.250

Entry 10:
VASP calculation (PBE-GGA) on a relaxed structure of BaCa2Tl2Pb2.

Computed properties:
- uncorrected energy (eV/atom) = -2.920
- formation energy (eV per atom) = -0.337

a b c (Å): 5.469 5.469 10.033
angles (deg): 74.18 74.18 60.00
Fractional positions:
Ca1 0.136 0.136 0.593
Ca2 0.864 0.864 0.407
Pb1 0.744 0.744 0.767
Pb2 0.256 0.256 0.233
Tl1 0.563 0.563 0.310
Tl2 0.437 0.437 0.690
Ba1 0.000 0.000 0.000

Entry 11:
VASP calculation (PBE-GGA) on a relaxed structure of Ba2CaTl3Pb4.

Computed properties:
- uncorrected energy (eV/atom) = -3.104
- formation energy (eV per atom) = -0.326

a b c (Å): 5.001 5.001 14.359
angles (deg): 90.00 90.00 90.00
Fractional positions:
Tl1 0.000 0.500 0.143
Tl2 0.500 0.000 0.857
Tl3 0.000 0.000 0.500
Pb1 0.500 0.000 0.642
Pb2 0.500 0.500 0.000
Pb3 0.000 0.000 0.000
Pb4 0.000 0.500 0.358
Ca1 0.500 0.500 0.500
Ba1 0.000 0.500 0.754
Ba2 0.500 0.000 0.246

Entry 12:
VASP calculation (PBE-GGA) on a relaxed structure of Ba2CaPd2.

Computed properties:
- uncorrected energy (eV/atom) = -3.493
- formation energy (eV per atom) = -0.246
- energy relative to the lowest polymorph listed for this composition (meV/atom) = 233

a b c (Å): 9.214 9.214 3.670
angles (deg): 90.00 90.00 90.00
Fractional positions:
Ca1 0.500 0.500 0.000
Ca2 0.000 0.000 0.000
Ba1 0.636 0.136 0.000
Ba2 0.136 0.364 0.000
Ba3 0.364 0.864 0.000
Ba4 0.864 0.636 0.000
Pd1 0.168 0.668 0.500
Pd2 0.668 0.832 0.500
Pd3 0.832 0.332 0.500
Pd4 0.332 0.168 0.500

Number 1: magnetic moment 0.00 μB/f.u.. Number 2: magnetic moment 0.00 μB/f.u.. Number 3: magnetic moment 0.00 μB/f.u.. Number 4: magnetic moment 0.00 μB/f.u.. Number 5: magnetic moment 2.08 μB/f.u.. Number 6: magnetic moment 0.00 μB/f.u.. Number 7: magnetic moment 3.56 μB/f.u.. Number 8: magnetic moment 0.00 μB/f.u.. Number 9: magnetic moment 0.00 μB/f.u.. Number 10: magnetic moment 0.00 μB/f.u.. Number 11: magnetic moment 0.00 μB/f.u.. Number 12: magnetic moment 0.00 μB/f.u..